(1)
A plane-wave DFT calculation with GGA-PBE was carried out for crystalline CdW2Au at its relaxed geometry.

Cell lengths 4.4895, 2.7756, 6.1793 Å; angles 63.37, 90.00, 90.00 degrees
Last column: nearest neighbours and their distance in Å.
Element x y z (fractional)
Au: 0.5000 0.2500 0.2500  2 Cd 2.76, 2 Au 2.78, 8 W 2.96
W: 0.0000 0.9940 0.0058  4 W 2.70-2.83, 4 Au 2.96, 4 Cd 2.99
W: 0.0000 0.5060 0.4942  4 W 2.70-2.83, 4 Au 2.96, 4 Cd 2.99
Cd: 0.5000 0.7500 0.7500  2 Au 2.76, 2 Cd 2.78, 8 W 2.99

The value obtained for the density of states at the Fermi level is 0.51 states/eV per cell. Its space-group type is Pmmm (47). Its calculated density is 16.333 Mg/m³. For the energy relative to the elements, the calculation gives 2.18 eV/f.u. Its total energy is -6.979 eV per atom.

***

(2)
A plane-wave DFT calculation with GGA-PBE was carried out for crystalline Cd2WAu at its relaxed geometry.

Cell lengths 5.1678, 5.1678, 5.1678 Å; angles 131.92, 131.92, 70.35 degrees
Last column: nearest neighbours and their distance in Å.
Element x y z (fractional)
Au: 0.7500 0.2500 0.5000  8 Cd 2.98, 4 W 2.98
W: 0.5000 0.5000 0.0000  8 Cd 2.98, 4 Au 2.98
Cd: 0.0000 0.0000 0.0000  4 W 2.98, 4 Cd 2.98, 4 Au 2.98
Cd: 0.2500 0.7500 0.5000  4 Au 2.98, 4 W 2.98, 4 Cd 2.98

The value obtained for the density of states at the Fermi level is 2.83 states/eV per cell. Its space-group type is I-4m2 (119). Its calculated density is 13.430 Mg/m³. For the energy relative to the elements, the calculation gives 2.65 eV/f.u. Its total energy is -3.852 eV per atom.

***

(3)
A plane-wave DFT calculation with GGA-PBE was carried out for crystalline Cd2WAu at its relaxed geometry.

Cell lengths 4.7498, 4.7498, 4.7498 Å; angles 60.00, 60.00, 60.00 degrees
Last column: nearest neighbours and their distance in Å.
Element x y z (fractional)
Au: 0.5000 0.5000 0.5000  8 Cd 2.91
W: 0.0000 0.0000 0.0000  8 Cd 2.91
Cd: 0.2500 0.2500 0.2500  4 Au 2.91, 4 W 2.91
Cd: 0.7500 0.7500 0.7500  4 Au 2.91, 4 W 2.91

The value obtained for the density of states at the Fermi level is 2.32 states/eV per cell. Its space-group type is Fm-3m (225). Its calculated density is 13.272 Mg/m³. For the energy relative to the elements, the calculation gives 2.99 eV/f.u. Its total energy is -3.769 eV per atom.

***

(4)
A plane-wave DFT calculation with GGA-PBE was carried out for crystalline CdW2Au at its relaxed geometry.

Cell lengths 4.6281, 4.6281, 4.6281 Å; angles 60.00, 60.00, 60.00 degrees
Last column: nearest neighbours and their distance in Å.
Element x y z (fractional)
Au: 0.5000 0.5000 0.5000  4 Cd 2.83, 4 W 2.83
W: 0.0000 0.0000 0.0000  4 Cd 2.83, 4 W 2.83
W: 0.2500 0.2500 0.2500  4 W 2.83, 4 Au 2.83
Cd: 0.7500 0.7500 0.7500  4 Au 2.83, 4 W 2.83

The value obtained for the density of states at the Fermi level is 2.47 states/eV per cell. Its space-group type is F-43m (216). Its calculated density is 16.039 Mg/m³. For the energy relative to the elements, the calculation gives 2.76 eV/f.u. Its total energy is -6.835 eV per atom.

***

(5)
A plane-wave DFT calculation with GGA-PBE was carried out for crystalline Cd2WAu at its relaxed geometry.

Cell lengths 4.1788, 4.2061, 4.2061 Å; angles 90.00, 90.00, 90.00 degrees
Last column: nearest neighbours and their distance in Å.
Element x y z (fractional)
Au: 0.5000 0.0000 0.5000  8 Cd 2.96, 4 W 2.97
W: 0.5000 0.5000 0.0000  8 Cd 2.96, 4 Au 2.97
Cd: 0.0000 0.0000 0.0000  4 Au 2.96, 4 W 2.96, 4 Cd 2.97
Cd: 0.0000 0.5000 0.5000  4 W 2.96, 4 Au 2.96, 4 Cd 2.97

The value obtained for the density of states at the Fermi level is 3.38 states/eV per cell. Its space-group type is P4/mmm (123). Its calculated density is 13.603 Mg/m³. For the energy relative to the elements, the calculation gives 2.09 eV/f.u. Its total energy is -3.992 eV per atom.

***

(6)
A plane-wave DFT calculation with GGA-PBE was carried out for crystalline Cd2WAu at its relaxed geometry.

Cell lengths 4.5378, 2.8545, 5.9372 Å; angles 76.41, 90.00, 90.00 degrees
Last column: nearest neighbours and their distance in Å.
Element x y z (fractional)
Au: 0.5000 0.9516 0.7206  3 Cd 2.76-2.82, 2 Au 2.85, 4 W 2.90-2.91
W: 0.0000 0.5484 0.5258  2 W 2.85, 4 Au 2.90-2.91, 7 Cd 2.97-3.14
Cd: 0.0000 0.8083 0.0105  2 Au 2.82, 6 Cd 2.85-3.00, 3 W 2.97-3.14
Cd: 0.5000 0.1917 0.2431  1 Au 2.76, 6 Cd 2.85-3.00

The value obtained for the density of states at the Fermi level is 2.98 states/eV per cell. Its space-group type is Pm (6). Its calculated density is 13.454 Mg/m³. For the energy relative to the elements, the calculation gives 1.85 eV/f.u. Its total energy is -4.053 eV per atom.